[1]
YHo2Tc, relaxed, DFT GGA-PBE; electronic total energy = -52.820 eV for the cell shown; M_tot = 0.0 Bohr magnetons per cell; SG = Cmcm (63); formation energy from the elements = -0.106 eV per atom
1.0
3.9130 -0.1639 0.0000
-1.7102 6.0033 0.0000
0.0000 0.0000 9.1178
Y Tc Ho
2 2 4
direct
0.4286 0.8571 0.2500 Y
0.5714 0.1429 0.7500 Y
0.2410 0.4820 0.7500 Tc
0.7590 0.5180 0.2500 Tc
0.8553 0.7105 0.5658 Ho
0.1447 0.2895 0.0658 Ho
0.1447 0.2895 0.4342 Ho
0.8553 0.7105 0.9342 Ho

=====

[2]
HgP2CI, relaxed, DFT GGA-PBE; electronic total energy = -16.066 eV for the cell shown; M_tot = 0.0 Bohr magnetons per cell; energy relative to the elements, uncorrected = 1166 meV per atom; SG = P4/mmm (123)
1.0
-1.1700 -3.6663 1.3047
0.1104 -2.5578 -7.0888
3.8911 -1.0813 0.4507
P C I Hg
2 1 1 1
direct
0.5000 0.0000 0.0000 P
0.0000 0.0000 0.5000 P
0.0000 0.0000 0.0000 C
0.5000 0.5000 0.5000 I
0.0000 0.5000 0.0000 Hg

=====

[3]
MgTc2W, relaxed, DFT GGA-PBE; electronic total energy = -34.598 eV for the cell shown; M_tot = 0.0 Bohr magnetons per cell; SG = P2/m (10); formation energy from the elements = 0.170 eV per atom
1.0
-3.2104 2.9113 0.2556
-1.2905 -1.5787 1.7727
2.1187 1.9397 4.5173
Tc W Mg
2 1 1
direct
0.0000 0.4556 0.5035 Tc
0.0000 0.0444 0.9965 Tc
0.5000 0.2500 0.2500 W
0.5000 0.7500 0.7500 Mg

=====

[4]
Ba2Mg12Cd5, relaxed, DFT GGA-PBE; electronic total energy = -30.298 eV for the cell shown; M_tot = 0.0 Bohr magnetons per cell; SG = R-3m (166); formation energy from the elements = -0.144 eV per atom
1.0
-0.8564 7.8656 0.4608
-4.8617 0.0792 6.2586
5.5476 1.2559 5.5190
Ba Mg Cd
2 12 5
direct
0.3369 0.3369 0.3369 Ba
0.6631 0.6631 0.6631 Ba
0.1496 0.6558 0.6558 Mg
0.3442 0.8504 0.3442 Mg
0.0000 0.2939 0.7061 Mg
0.2939 0.0000 0.7061 Mg
0.3442 0.3442 0.8504 Mg
0.7061 0.0000 0.2939 Mg
0.0000 0.7061 0.2939 Mg
0.2939 0.7061 0.0000 Mg
0.6558 0.1496 0.6558 Mg
0.8504 0.3442 0.3442 Mg
0.6558 0.6558 0.1496 Mg
0.7061 0.2939 0.0000 Mg
0.5000 0.0000 0.0000 Cd
0.0000 0.5000 0.0000 Cd
0.0000 0.0000 0.5000 Cd
0.0967 0.0967 0.0967 Cd
0.9033 0.9033 0.9033 Cd

=====

[5]
Pm4Cu3Os, relaxed, DFT GGA-PBE; electronic total energy = -87.360 eV for the cell shown; M_tot = 0.0 Bohr magnetons per cell; SG = Pmma (51); formation energy from the elements = -0.145 eV per atom
1.0
-2.2672 -1.8876 4.0338
2.4768 -6.4968 -1.6480
8.2070 1.7508 5.4321
Pm Os Cu
8 2 6
direct
0.5000 0.7418 0.5000 Pm
0.9994 0.7418 0.2500 Pm
0.0006 0.2582 0.7500 Pm
0.5000 0.2582 0.5000 Pm
0.9994 0.2582 0.2500 Pm
0.0006 0.7418 0.7500 Pm
0.5000 0.2582 0.0000 Pm
0.5000 0.7418 0.0000 Pm
0.0000 0.5000 0.5000 Os
0.0000 0.5000 0.0000 Os
0.4992 0.0000 0.2500 Cu
0.5008 0.0000 0.7500 Cu
0.0000 0.0000 0.5000 Cu
0.4987 0.5000 0.2500 Cu
0.5013 0.5000 0.7500 Cu
0.0000 0.0000 0.0000 Cu

=====

[6]
TlP2Br, relaxed, DFT GGA-PBE; electronic total energy = -15.188 eV for the cell shown; M_tot = 0.0 Bohr magnetons per cell; energy relative to the elements, uncorrected = -82 meV per atom; SG = P1 (1)
1.0
-1.4006 3.0991 -0.0291
-2.9081 -1.2934 2.8257
2.8157 3.2874 6.8646
P Br Tl
2 1 1
direct
0.5043 0.1118 0.5662 P
0.0120 0.8013 0.5511 P
0.3059 0.2011 0.9714 Br
0.6968 0.6190 0.1778 Tl

=====

[7]
Sm4HoSc7, relaxed, DFT GGA-PBE; electronic total energy = -64.499 eV for the cell shown; M_tot = 0.4 Bohr magnetons per cell; SG = C2/m (12); formation energy from the elements = 0.273 eV per atom
1.0
5.5738 0.0000 0.0000
2.7869 10.9038 -0.6686
2.7869 0.0499 5.7210
Sc Ho Sm
7 1 4
direct
0.0343 0.6209 0.3106 Sc
0.3555 0.5137 0.7753 Sc
0.5000 0.0000 0.0000 Sc
0.7913 0.9162 0.5013 Sc
0.2087 0.0838 0.4987 Sc
0.9657 0.3791 0.6894 Sc
0.6445 0.4863 0.2247 Sc
0.0000 0.0000 0.0000 Ho
0.2994 0.2952 0.1060 Sm
0.7006 0.7048 0.8940 Sm
0.6427 0.2249 0.4896 Sm
0.3573 0.7751 0.5104 Sm

=====

[8]
NaSnH, relaxed, DFT GGA-PBE; electronic total energy = -17.869 eV for the cell shown; M_tot = 0.0 Bohr magnetons per cell; SG = Pm (6)
1.0
-0.7313 2.8579 4.1225
-4.0623 1.0965 -1.4807
-1.8942 -5.9987 0.7544
Sn H Na
2 2 2
direct
0.7895 0.5000 0.5843 Sn
0.7389 0.0000 0.2673 Sn
0.3542 0.0000 0.0897 H
0.4177 0.5000 0.5779 H
0.1383 0.5000 0.1378 Na
0.3670 0.0000 0.7102 Na

=====

[9]
HoAlZnS4, relaxed, DFT GGA-PBE; electronic total energy = -69.943 eV for the cell shown; M_tot = 0.0 Bohr magnetons per cell; energy relative to the elements, uncorrected = -1267 meV per atom; SG = Imma (74)
1.0
7.4430 0.0000 0.0000
3.7215 6.4903 0.0872
3.7215 2.0603 6.1552
Al Ho S Zn
2 2 8 2
direct
0.5000 0.0000 0.5000 Al
0.0000 0.0000 0.5000 Al
0.0000 0.5000 0.5000 Ho
0.0000 0.0000 0.0000 Ho
0.2548 0.2182 0.2721 S
0.2355 0.7672 0.2672 S
0.7452 0.7818 0.7279 S
0.7452 0.2279 0.2818 S
0.2698 0.2328 0.7328 S
0.7645 0.2328 0.7328 S
0.2548 0.7721 0.7182 S
0.7302 0.7672 0.2672 S
0.6219 0.6281 0.1281 Zn
0.3781 0.3719 0.8719 Zn

=====

[10]
DyHo3N, relaxed, DFT GGA-PBE; electronic total energy = -29.277 eV for the cell shown; M_tot = 0.0 Bohr magnetons per cell; energy relative to the elements, uncorrected = -523 meV per atom; SG = Pm-3m (221)
1.0
4.9352 0.0000 0.0000
0.0000 4.9352 0.0000
0.0000 0.0000 4.9352
Ho Dy N
3 1 1
direct
0.0000 0.5000 0.0000 Ho
0.0000 0.0000 0.5000 Ho
0.5000 0.0000 0.0000 Ho
0.5000 0.5000 0.5000 Dy
0.0000 0.0000 0.0000 N

=====

[11]
DyMg2Ga6, relaxed, DFT GGA-PBE; electronic total energy = -28.353 eV for the cell shown; M_tot = 0.0 Bohr magnetons per cell; SG = P6/mmm (191); formation energy from the elements = -0.267 eV per atom
1.0
-1.4707 0.9997 2.8028
-5.7581 -5.0931 -1.2048
6.2892 -2.1264 4.0584
Ga Dy Mg
6 1 2
direct
0.5000 0.3371 0.0000 Ga
0.5000 0.3371 0.3371 Ga
0.5000 0.0000 0.3371 Ga
0.5000 0.6629 0.0000 Ga
0.5000 0.6629 0.6629 Ga
0.5000 0.0000 0.6629 Ga
0.0000 0.0000 0.0000 Dy
0.0000 0.6667 0.3333 Mg
0.0000 0.3333 0.6667 Mg

=====

[12]
La5TlCd6, relaxed, DFT GGA-PBE; electronic total energy = -35.933 eV for the cell shown; M_tot = 0.5 Bohr magnetons per cell; SG = Immm (71); formation energy from the elements = -0.287 eV per atom
1.0
5.1349 0.0048 -1.5783
-0.8902 7.5382 -2.8726
0.1053 -0.7499 9.4649
Cd La Tl
6 5 1
direct
0.1636 0.4123 0.3271 Cd
0.5000 0.7435 0.0000 Cd
0.5000 0.2565 0.0000 Cd
0.8364 0.5877 0.6729 Cd
0.8364 0.0853 0.6728 Cd
0.1636 0.9147 0.3272 Cd
0.3283 0.3283 0.6567 La
0.0000 0.5000 0.0000 La
0.3420 0.8421 0.6843 La
0.6580 0.1579 0.3157 La
0.6717 0.6717 0.3433 La
0.0000 0.0000 0.0000 Tl

=====

Among the records above, which one has the lowest electronic total energy?
Pm4Cu3Os